The following is a DFT calculation (PBE) of an optimized crystal structure of AcLa15Pm4.

Cell lengths 5.265, 5.265, 26.418 Å; angles 90.00, 90.00, 90.00 degrees
Atoms (fractional coordinates):
La 0.500 0.500 0.401
La 0.000 0.500 0.698
La 0.500 0.000 0.896
La 0.000 0.500 0.500
Pm 0.000 0.000 0.203
La 0.000 0.500 0.104
Pm 0.000 0.000 0.599
La 0.000 0.500 0.302
Ac 0.000 0.000 0.000
La 0.500 0.500 0.000
La 0.500 0.000 0.104
Pm 0.000 0.000 0.401
La 0.000 0.500 0.896
La 0.500 0.000 0.698
La 0.500 0.500 0.599
La 0.500 0.000 0.302
La 0.500 0.500 0.204
La 0.500 0.500 0.796
La 0.500 0.000 0.500
Pm 0.000 0.000 0.797

Properties
- space group = P4/mmm (123)
- density (Mg/m³) = 6.6
- total DFT energy (no corrections) (eV per formula unit) = -96.74